# 1
Entry from the Open Quantum Materials Database: crystalline ZnHg2W at its relaxed geometry (PBE-GGA).

Raw total energy = -2.758 eV/atom
Total moment = 2.1 μB per formula unit
Formation enthalpy at 0 K = 365 kJ/mol of formula units

abc: 6.7068 6.7068 6.7068
angles: 90.00 90.00 90.00
Space group F-43m (No. 216)
Inequivalent atoms, fractional coordinates:
Zn1 0.0000 0.0000 0.0000 x4
Hg1 0.0000 0.0000 0.5000 x4
Hg2 0.2500 0.2500 0.7500 x4
W1 0.2500 0.2500 0.2500 x4

=====

# 2
Entry from the Open Quantum Materials Database: crystalline YHg2 at its relaxed geometry (PBE-GGA).

Raw total energy = -2.754 eV/atom
Total moment = 0.2 μB per formula unit
Formation enthalpy at 0 K = -116 kJ/mol of formula units

abc: 4.8807 4.8807 3.4710
angles: 90.00 90.00 120.00
Space group P6/mmm (No. 191)
Inequivalent atoms, fractional coordinates:
Y1 0.0000 0.0000 0.0000 x1
Hg1 0.3333 0.6667 0.5000 x2

=====

# 3
Entry from the Open Quantum Materials Database: crystalline Y2Hg at its relaxed geometry (PBE-GGA).

Raw total energy = -4.117 eV/atom
Total moment = 0.0 μB per formula unit
Formation enthalpy at 0 K = 85 kJ/mol of formula units

abc: 8.8318 8.8318 8.8318
angles: 90.00 90.00 90.00
Space group Fd-3m (No. 227, origin choice 2)
Inequivalent atoms, fractional coordinates:
Y1 0.0000 0.0000 0.0000 x16
Hg1 0.1250 0.1250 0.6250 x8

=====

# 4
Entry from the Open Quantum Materials Database: crystalline Y2Hg at its relaxed geometry (PBE-GGA).

Raw total energy = -4.681 eV/atom
Total moment = 0.1 μB per formula unit
Formation enthalpy at 0 K = -79 kJ/mol of formula units

abc: 6.0763 11.0358 20.6160
angles: 90.00 90.00 90.00
Space group Fddd (No. 70, origin choice 2)
Inequivalent atoms, fractional coordinates:
Y1 0.1250 0.1250 0.0404 x16
Y2 0.1250 0.2886 0.6250 x16
Hg1 0.1250 0.1250 0.4992 x16

=====

# 5
Entry from the Open Quantum Materials Database: crystalline Y4Hg at its relaxed geometry (PBE-GGA).

Raw total energy = -5.174 eV/atom
Total moment = 0.0 μB per formula unit
Formation enthalpy at 0 K = 28 kJ/mol of formula units

abc: 8.0435 8.0435 4.6999
angles: 90.00 90.00 90.00
Space group P4/mbm (No. 127)
Inequivalent atoms, fractional coordinates:
Y1 0.1507 0.3493 0.0000 x4
Y2 0.1516 0.6516 0.5000 x4
Hg1 0.0000 0.0000 0.0000 x2

=====

# 6
Entry from the Open Quantum Materials Database: crystalline Y2Hg3 at its relaxed geometry (PBE-GGA).

Raw total energy = -3.088 eV/atom
Total moment = 0.0 μB per formula unit
Formation enthalpy at 0 K = -156 kJ/mol of formula units

abc: 8.4147 8.4147 3.8257
angles: 90.00 90.00 90.00
Space group P4/mbm (No. 127)
Inequivalent atoms, fractional coordinates:
Y1 0.1601 0.3399 0.0000 x4
Hg1 0.0000 0.0000 0.0000 x2
Hg2 0.1378 0.6378 0.5000 x4

=====

# 7
Entry from the Open Quantum Materials Database: crystalline YZnHg2 at its relaxed geometry (PBE-GGA).

Raw total energy = -2.351 eV/atom
Total moment = 0.0 μB per formula unit
Formation enthalpy at 0 K = -104 kJ/mol of formula units

abc: 7.0578 7.0578 7.0578
angles: 90.00 90.00 90.00
Space group F-43m (No. 216)
Inequivalent atoms, fractional coordinates:
Y1 0.0000 0.0000 0.0000 x4
Zn1 0.2500 0.2500 0.2500 x4
Hg1 0.0000 0.0000 0.5000 x4
Hg2 0.2500 0.2500 0.7500 x4

=====

# 8
Entry from the Open Quantum Materials Database: crystalline Y3Zn2Hg4 at its relaxed geometry (PBE-GGA).

Raw total energy = -2.994 eV/atom
Total moment = 0.2 μB per formula unit
Formation enthalpy at 0 K = -369 kJ/mol of formula units

abc: 10.8894 4.7494 8.9496
angles: 90.00 116.38 90.00
Space group C2/m (No. 12)
Inequivalent atoms, fractional coordinates:
Y1 0.0000 0.0000 0.0000 x2
Y2 0.1636 0.5000 0.6679 x4
Zn1 0.1121 0.5000 0.2837 x4
Hg1 0.0681 0.0000 0.3920 x4
Hg2 0.2099 0.5000 0.0574 x4

=====

# 9
Entry from the Open Quantum Materials Database: crystalline YZnHg2 at its relaxed geometry (PBE-GGA).

Raw total energy = -2.350 eV/atom
Total moment = 0.0 μB per formula unit
Formation enthalpy at 0 K = -104 kJ/mol of formula units

abc: 7.0539 7.0539 7.0539
angles: 90.00 90.00 90.00
Space group F-43m (No. 216)
Inequivalent atoms, fractional coordinates:
Y1 0.0000 0.0000 0.0000 x4
Zn1 0.2500 0.2500 0.7500 x4
Hg1 0.0000 0.0000 0.5000 x4
Hg2 0.2500 0.2500 0.2500 x4

=====

# 10
Entry from the Open Quantum Materials Database: crystalline Zn3Hg at its relaxed geometry (PBE-GGA).

Raw total energy = -0.918 eV/atom
Formation enthalpy at 0 K = 41 kJ/mol of formula units

abc: 5.8098 5.8098 4.6614
angles: 90.00 90.00 120.00
Space group P6_3/mmc (No. 194)
Inequivalent atoms, fractional coordinates:
Zn1 0.1594 0.3187 0.2500 x6
Hg1 0.3333 0.6667 0.7500 x2

=====

# 11
Entry from the Open Quantum Materials Database: crystalline ZnHg at its relaxed geometry (PBE-GGA).

Raw total energy = -0.647 eV/atom
Formation enthalpy at 0 K = 26 kJ/mol of formula units

abc: 4.5200 6.8460 5.2316
angles: 90.00 90.00 90.00
Space group Pmm2 (No. 25)
Inequivalent atoms, fractional coordinates:
Zn1 0.0000 0.0000 0.0000 x1
Zn2 0.0000 0.2105 0.5469 x2
Zn3 0.5000 0.0000 0.7157 x1
Hg1 0.0000 0.5000 0.0482 x1
Hg2 0.5000 0.2229 0.2114 x2
Hg3 0.5000 0.5000 0.6699 x1

=====

# 12
Entry from the Open Quantum Materials Database: crystalline ZnHg at its relaxed geometry (PBE-GGA).

Raw total energy = -0.670 eV/atom
Formation enthalpy at 0 K = 21 kJ/mol of formula units

abc: 5.5681 5.2863 7.4051
angles: 90.00 111.84 90.00
Space group Pm (No. 6)
Inequivalent atoms, fractional coordinates:
Zn1 0.0000 0.0000 0.0000 x1
Zn2 0.1025 0.5000 0.2167 x1
Zn3 0.5032 0.5000 0.0178 x1
Zn4 0.6105 0.0000 0.2344 x1
Zn5 0.8023 0.0000 0.6172 x1
Hg1 0.1897 0.0000 0.3929 x1
Hg2 0.3070 0.5000 0.6173 x1
Hg3 0.4203 0.0000 0.8417 x1
Hg4 0.6990 0.5000 0.4033 x1
Hg5 0.9135 0.5000 0.8312 x1